# DyTm2Ga4Au GGA-PBE optimized geometry
# Size of the total moment ... 0.11 μB/cell
# Electronic total energy ... -4.117 eV per atom
data_DyTm2Ga4Au
_cell_length_a 6.441
_cell_length_b 4.035
_cell_length_c 13.294
_cell_angle_alpha 90.00
_cell_angle_beta 90.00
_cell_angle_gamma 90.00
_space_group_name_H-M_alt 'A m m 2'
_space_group_IT_number 38
loop_
_space_group_symop_operation_xyz
'x,y,z'
'-x,-y,z'
'-x,y,z'
'x,-y,z'
'x,y+1/2,z+1/2'
'-x,-y+1/2,z+1/2'
'-x,y+1/2,z+1/2'
'x,-y+1/2,z+1/2'
loop_
_atom_site_label
_atom_site_fract_x
_atom_site_fract_y
_atom_site_fract_z
_atom_site_occupancy
Dy1 0.000 0.000 0.000 1
Tm1 0.000 0.000 0.274 1
Tm2 0.500 0.000 0.812 1
Ga1 0.221 0.000 0.640 1
Ga2 0.305 0.000 0.446 1
Au1 0.500 0.000 0.098 1